{
  "formula": "MnOF",
  "functional": "GGA+U",
  "state": "relaxed",
  "dos_ef_per_ev_atom": 0.1366,
  "total_energy_ev_per_cell": -160.9,
  "density_g_cm3": 4.4,
  "lattice": [[10.288, 0.000, 0.000], [0.000, 4.632, -0.003], [0.000, 4.258, 5.673]],
  "species": ["Mn", "Mn", "Mn", "Mn", "Mn", "Mn", "Mn", "Mn", "O", "O", "O", "O", "O", "O", "O", "O", "F", "F", "F", "F", "F", "F", "F", "F"],
  "frac_coords": [[0.749, 0.854, 0.149], [0.490, 0.089, 0.859], [0.247, 0.850, 0.150], [0.988, 0.181, 0.840], [0.012, 0.181, 0.340], [0.510, 0.089, 0.359], [0.251, 0.854, 0.649], [0.753, 0.850, 0.650], [0.077, 0.699, 0.110], [0.329, 0.847, 0.896], [0.830, 0.920, 0.879], [0.583, 0.074, 0.620], [0.170, 0.920, 0.379], [0.671, 0.847, 0.396], [0.923, 0.699, 0.610], [0.417, 0.074, 0.120], [0.600, 0.611, 0.122], [0.355, 0.322, 0.388], [0.851, 0.377, 0.381], [0.107, 0.178, 0.606], [0.400, 0.611, 0.622], [0.149, 0.377, 0.881], [0.893, 0.178, 0.106], [0.645, 0.322, 0.888]]
}